Record 1
The following is a DFT calculation (PBE) of a relaxed ErTiTlHg crystal.

Properties
The spin magnetization is 7.746 Bohr magnetons per cell. The calculation puts the density of states at the Fermi level at 16.23 states/eV per cell. For the energy of formation, the calculation gives -10 kJ per mole of atoms.

abc: 7.1657 7.1657 7.1657
angles: 90.00 90.00 90.00
Space group F-43m (No. 216)
One atom of each set of equivalent atoms:
Er 0.0000 0.0000 0.0000 x4
Ti 0.0000 0.0000 0.5000 x4
Tl 0.2500 0.2500 0.7500 x4
Hg 0.2500 0.2500 0.2500 x4

Record 2
The following is a DFT calculation (PBE) of a relaxed ScMn11B crystal.

Properties
The spin magnetization is 0.028 Bohr magnetons per cell. The calculation puts the density of states at the Fermi level at 31.18 states/eV per cell. For the energy of formation, the calculation gives -7 kJ per mole of atoms.

abc: 4.4343 11.1862 6.2185
angles: 90.00 109.80 90.00
Space group C2/m (No. 12)
One atom of each set of equivalent atoms:
Sc 0.0000 0.0000 0.0000 x2
Mn 0.0000 0.0000 0.5000 x2
Mn 0.0985 0.3956 0.2250 x8
Mn 0.1932 0.1778 0.3654 x8
Mn 0.2500 0.2500 0.0000 x4
B 0.0000 0.5000 0.5000 x2

Record 3
The following is a DFT calculation (PBE) of a relaxed CaCuO2 crystal.

Properties
The spin magnetization is 1.995 Bohr magnetons per cell. The calculation puts the density of states at the Fermi level at 0.44 states/eV per cell. The uncorrected formation energy comes out at -6.798 eV per formula unit.

abc: 6.4509 3.0321 6.0234
angles: 90.00 120.91 90.00
Space group C2/m (No. 12)
One atom of each set of equivalent atoms:
Ca 0.0000 0.0000 0.0000 x2
Cu 0.0000 0.0000 0.5000 x2
O 0.0656 0.5000 0.7473 x4

Record 4
The following is a DFT calculation (PBE) of a relaxed NaSr3H crystal.

Properties
The spin magnetization is 0.000 Bohr magnetons per cell. The calculation puts the density of states at the Fermi level at 3.47 states/eV per cell. As for the energy above the most stable polymorph in this dataset: 799 meV/atom.

abc: 6.6564 6.6564 6.6564
angles: 90.00 90.00 90.00
Space group Pm-3m (No. 221)
One atom of each set of equivalent atoms:
Na 0.0000 0.0000 0.0000 x1
Sr 0.0000 0.0000 0.5000 x3
H 0.5000 0.5000 0.5000 x1